(1)
The following is a DFT calculation (PBE) of Li2LaEr2Sb2 after structural relaxation.

## Properties
- magnetic moment (μB/atom) = 0.058
- DOS(E_F) (states/eV/f.u.) = 6.2
- ΔE_f (raw) (meV per atom) = -581
- calculated density (g cm⁻³) = 6.84
- symmetry = R-3m (166)
- calculated total energy (eV/cell) = -30.19

The structure in POSCAR format:
```
Li2LaEr2Sb2
1.0
2.386 1.378 9.001
-2.386 1.378 9.001
0.000 -2.755 9.001
Li La Er Sb
2 1 2 2
Cartesian
0.000 0.000 2.298 Li
0.000 0.000 24.706 Li
0.000 0.000 13.502 La
0.000 0.000 9.939 Er
0.000 0.000 17.065 Er
0.000 0.000 6.522 Sb
0.000 0.000 20.482 Sb
```


(2)
The following is a DFT calculation (PBE) of SrGeTe2 after structural relaxation.

## Properties
- magnetic moment (μB/atom) = 0.000
- ΔE_f (raw) (meV per atom) = -669
- calculated density (g cm⁻³) = 3.98
- symmetry = Cm (8)
- calculated total energy (eV/cell) = -15.26

The structure in POSCAR format:
```
SrGeTe2
1.0
4.534 -2.621 0.000
4.534 2.621 0.000
-3.017 0.000 7.286
Sr Ge Te
1 1 2
Cartesian
0.000 0.000 0.000 Sr
3.025 0.000 3.531 Ge
0.002 0.000 3.249 Te
3.027 0.000 6.283 Te
```


(3)
The following is a DFT calculation (PBE) of Y4AlCdAg2 after structural relaxation.

## Properties
- magnetic moment (μB/atom) = 0.000
- DOS(E_F) (states/eV/f.u.) = 5.9
- calculated density (g cm⁻³) = 5.95
- symmetry = R-3m (166)
- calculated total energy (eV/cell) = -39.00

The structure in POSCAR format:
```
Y4AlCdAg2
1.0
2.597 1.500 8.488
-2.597 1.500 8.488
0.000 -2.999 8.488
Y Al Cd Ag
4 1 1 2
Cartesian
0.000 0.000 3.134 Y
0.000 0.000 9.500 Y
0.000 0.000 15.965 Y
0.000 0.000 22.331 Y
0.000 0.000 0.000 Al
0.000 0.000 12.732 Cd
0.000 0.000 6.345 Ag
0.000 0.000 19.119 Ag
```


(4)
The following is a DFT calculation (PBE) of K2CN after structural relaxation.

## Properties
- magnetic moment (μB/atom) = 0.000
- DOS(E_F) (states/eV/f.u.) = 2.3
- distance to the lowest polymorph of the same formula (eV per atom) = 0.0000
- ΔE_f (raw) (meV per atom) = 954
- calculated density (g cm⁻³) = 1.86
- symmetry = I-42d (122)
- calculated total energy (eV/cell) = -31.86

The structure in POSCAR format:
```
K2CN
1.0
-5.594 5.594 1.484
5.594 -5.594 1.484
5.594 5.594 -1.484
K C N
4 2 2
Cartesian
-0.032 2.797 0.371 K
2.797 5.562 1.113 K
0.032 8.390 0.371 K
-2.797 5.625 1.113 K
5.594 0.000 0.742 C
0.000 0.000 1.484 C
0.000 0.000 0.000 N
0.000 5.594 0.742 N
```